No. 1
Crystalline Dy3ErMg8 at its relaxed geometry. Source: Alexandria via LeMat-Bulk, functional PBE.

* energy of formation from the pure elements: -1.522 kcal/mol of atoms
* E: -2.660 eV/atom

Structure (CIF):
```
data_Dy3ErMg8
_chemical_formula_sum 'Dy3 Er1 Mg8'
_symmetry_space_group_name_H-M 'P 1'
_symmetry_Int_Tables_number 1
_cell_length_a 6.057
_cell_length_b 6.057
_cell_length_c 9.741
_cell_angle_alpha 90.00
_cell_angle_beta 90.00
_cell_angle_gamma 120.00
loop_
_symmetry_equiv_pos_as_xyz
'x,y,z'
loop_
_atom_site_label
_atom_site_type_symbol
_atom_site_fract_x
_atom_site_fract_y
_atom_site_fract_z
Dy1 Dy 0.000 0.000 0.000
Dy2 Dy 0.000 0.000 0.372
Dy3 Dy 0.333 0.667 0.870
Er1 Er 0.333 0.667 0.499
Mg1 Mg 0.008 0.504 0.185
Mg2 Mg 0.325 0.163 0.685
Mg3 Mg 0.496 0.504 0.185
Mg4 Mg 0.496 0.992 0.185
Mg5 Mg 0.667 0.333 0.435
Mg6 Mg 0.667 0.333 0.935
Mg7 Mg 0.837 0.163 0.685
Mg8 Mg 0.837 0.675 0.685
```



No. 2
Crystalline SrTlRh2 at its relaxed geometry. Source: Alexandria via LeMat-Bulk, functional PBE.

* energy of formation from the pure elements: 1.333 kcal/mol of atoms
* E: -4.630 eV/atom
* energy above the lowest structure with this stoichiometry: 0.220 eV per atom

Structure (CIF):
```
data_SrTlRh2
_chemical_formula_sum 'Sr1 Tl1 Rh2'
_symmetry_space_group_name_H-M 'P 1'
_symmetry_Int_Tables_number 1
_cell_length_a 3.467
_cell_length_b 3.467
_cell_length_c 7.446
_cell_angle_alpha 90.00
_cell_angle_beta 90.00
_cell_angle_gamma 90.00
loop_
_symmetry_equiv_pos_as_xyz
'x,y,z'
loop_
_atom_site_label
_atom_site_type_symbol
_atom_site_fract_x
_atom_site_fract_y
_atom_site_fract_z
Sr1 Sr 0.000 0.000 0.000
Tl1 Tl 0.500 0.500 0.342
Rh1 Rh 0.000 0.000 0.585
Rh2 Rh 0.500 0.500 0.718
```



> The highest energy of formation from the pure elements belongs to which entry?

SrTlRh2



> What is the E in the first record?

-2.660 eV/atom